! La6ZnGa2 | Alexandria via LeMat-Bulk | PBE | relaxed; values from VASP
&SYSTEM
  ibrav = 0, nat = 18, ntyp = 3
/
ATOMIC_SPECIES
La 138.91 La.upf
Zn 65.41 Zn.upf
Ga 69.72 Ga.upf
CELL_PARAMETERS angstrom
-5.092 5.124 5.373
5.092 -5.124 5.373
5.092 5.124 -5.373
ATOMIC_POSITIONS angstrom
La 5.092 3.126 -2.742
La 2.963 0.000 1.820
La 7.221 0.000 1.820
La 2.392 3.368 0.000
La 2.700 -1.757 5.373
La 0.000 1.999 2.631
La 5.092 3.126 2.742
La 2.392 6.881 0.000
La 2.700 1.757 5.373
La -2.129 5.124 3.554
La 2.129 5.124 3.554
La 0.000 1.999 8.115
Zn 0.000 0.000 0.000
Zn 0.000 0.000 5.373
Ga 5.092 1.535 0.000
Ga 5.092 0.000 4.070
Ga 0.000 5.124 1.303
Ga 0.000 3.590 5.373
! Polymorph energy (0 for the lowest one) (meV/atom): 0.0
! Formation energy (meV/atom): -308
! DFT total energy (eV for the cell shown): -79.3
! Total moment (μB per atom): 0.0000
! DOS(E_F) (states/eV/atom): 1.37